[1]
Material: TcNiRh
Method: DFT, GGA-PBE
State: optimized geometry

abc: 2.6846 2.6846 6.4448
angles: 90.00 90.00 120.00
With the nearest neighbours (Å) after each atom.
Atoms (fractional coordinates):
Tc: 0.0000 0.0000 0.0000  3 Ni 2.59, 6 Tc 2.68, 3 Rh 2.69
Ni: 0.6667 0.3333 0.3228  3 Tc 2.59, 3 Rh 2.66, 6 Ni 2.68
Rh: 0.3333 0.6667 0.6588  3 Ni 2.66, 6 Rh 2.68, 3 Tc 2.69

Calculated values
* space group: P3m1, No. 156
* formation energy: 0.031 eV per atom

[2]
Material: LiMgH2Pd5
Method: DFT, GGA-PBE
State: optimized geometry

abc: 3.9514 3.9514 7.6227
angles: 90.00 90.00 90.00
With the nearest neighbours (Å) after each atom.
Atoms (fractional coordinates):
Li: 0.0000 0.0000 0.0000  2 H 1.90
Mg: 0.5000 0.5000 0.5000  12 Pd 2.79-2.86
H: 0.0000 0.0000 0.2492  1 Li 1.90, 5 Pd 1.91-1.98
H: 0.0000 0.0000 0.7508  1 Li 1.90, 5 Pd 1.91-1.98
Pd: 0.0000 0.0000 0.5000  2 H 1.91
Pd: 0.0000 0.5000 0.2290  2 H 1.98
Pd: 0.0000 0.5000 0.7710  2 H 1.98
Pd: 0.5000 0.0000 0.2290  2 H 1.98
Pd: 0.5000 0.0000 0.7710  2 H 1.98

Calculated values
* space group: P4/mmm, No. 123
* calculated total energy: -38.75 eV/cell

[3]
Material: LiCr2Ru2
Method: DFT, GGA-PBE
State: optimized geometry

abc: 7.2296 7.2296 2.6773
angles: 90.00 90.00 90.00
With the nearest neighbours (Å) after each atom.
Atoms (fractional coordinates):
Li: 0.0000 0.0000 0.0000  2 Li 2.68, 4 Ru 2.78
Li: 0.5000 0.5000 0.0000  2 Li 2.68, 4 Ru 2.78
Cr: 0.1505 0.3495 0.5000  6 Ru 2.49-2.52, 2 Cr 2.68
Cr: 0.3495 0.8495 0.5000  6 Ru 2.49-2.52, 2 Cr 2.68
Cr: 0.6505 0.1505 0.5000  6 Ru 2.49-2.52, 2 Cr 2.68
Cr: 0.8495 0.6505 0.5000  6 Ru 2.49-2.52, 2 Cr 2.68
Ru: 0.1440 0.6440 0.0000  6 Cr 2.49-2.52, 2 Ru 2.68, 2 Li 2.78
Ru: 0.3560 0.1440 0.0000  6 Cr 2.49-2.52, 2 Ru 2.68, 2 Li 2.78
Ru: 0.6440 0.8560 0.0000  6 Cr 2.49-2.52, 2 Ru 2.68, 2 Li 2.78
Ru: 0.8560 0.3560 0.0000  6 Cr 2.49-2.52, 2 Ru 2.68, 2 Li 2.78

Calculated values
* space group: P4/mbm, No. 127
* formation energy: 0.206 eV per atom

[4]
Material: Cs2KTiO2F3
Method: DFT, GGA-PBE
State: optimized geometry

abc: 6.8364 6.6105 6.3081
angles: 63.85 60.23 55.92
With the nearest neighbours (Å) after each atom.
Atoms (fractional coordinates):
Cs: 0.0000 0.0000 0.5000  2 O 2.92, 4 F 3.05-3.18
Cs: 0.5000 0.5000 0.0000  2 O 2.92, 4 F 3.05-3.18
K: 0.2797 0.2797 0.7203  3 F 2.64-2.68, 2 O 2.85
Ti: 0.7423 0.7423 0.2577  2 O 1.76
O: 0.0086 0.6611 0.9914  1 Ti 1.76
O: 0.6611 0.0086 0.3389  1 Ti 1.76
F: 0.4942 0.9340 0.0660  1 Ti 2.05
F: 0.5424 0.5424 0.4576  1 Ti 2.01
F: 0.9340 0.4942 0.5058  1 Ti 2.05

Calculated values
* space group: Fmm2, No. 42
* formation energy without anion corrections: -2742 meV/atom